No. 1
This record from Alexandria describes a geometry-optimized Dy7Rh2Au2 structure. The functional is GGA-PBE.

Lattice parameters (Å, degrees): 7.8534 10.7397 7.0399 90.00 90.00 90.00
Space group Cmmm (No. 65)
Asymmetric unit:
Dy 0.0000 0.0000 0.0000
Dy 0.0000 0.5000 0.2524
Dy 0.2500 0.2500 0.2586
Rh 0.0000 0.2891 0.0000
Au 0.1915 0.0000 0.5000

Results
- E above lowest polymorph: 141 meV/atom
- ΔH_f (0 K): -524 meV/atom
- E: -0.3958 Ry per atom

***

No. 2
This record from Alexandria describes a geometry-optimized BeSiRh2 structure. The functional is GGA-PBE.

Lattice parameters (Å, degrees): 5.7389 5.7389 5.7389 90.00 90.00 90.00
Space group Fm-3m (No. 225)
Asymmetric unit:
Be 0.0000 0.0000 0.0000
Si 0.0000 0.0000 0.5000
Rh 0.2500 0.2500 0.2500

Results
- E above lowest polymorph: 0 meV/atom
- E: -0.4986 Ry per atom

***

No. 3
This record from Alexandria describes a geometry-optimized Sm3SeN2 structure. The functional is GGA-PBE.

Lattice parameters (Å, degrees): 8.8088 12.2785 5.8697 90.00 90.00 90.00
Space group Cmcm (No. 63)
Asymmetric unit:
Sm 0.0000 0.0883 0.2500
Sm 0.2260 0.3915 0.2500
Se 0.0000 0.2588 0.7500
N 0.1710 0.0000 0.0000

Results
- E above lowest polymorph: 215 meV/atom
- E: -0.5106 Ry per atom

***

> Which formula does entry 3 have?

Sm3SeN2

***

> E of number 1 (Dy7Rh2Au2)?

-0.3958 Ry per atom